Run 1
Entry from the Alexandria database: a crystal of KHgP2S relaxed with PBEsol (meta-GGA SCAN).

## Properties
Calculated volume: 131.39 Å³ per cell
Mass density: 4.2 g/cm³
SG: No. 123

a b c (Å): 5.0036 5.0036 5.2480
angles (deg): 90.00 90.00 90.00
Fractional positions:
K: 0.0000 0.0000 0.0000
Hg: 0.5000 0.5000 0.5000
P: 0.0000 0.5000 0.5000
P: 0.5000 0.0000 0.5000
S: 0.5000 0.5000 0.0000



Run 2
Entry from the Alexandria database: a crystal of KHgP2S relaxed with PBEsol (meta-GGA SCAN).

## Properties
Calculated volume: 238.59 Å³ per cell
Mass density: 2.3 g/cm³
SG: No. 123

a b c (Å): 6.3850 6.3850 5.8523
angles (deg): 90.00 90.00 90.00
Fractional positions:
K: 0.0000 0.0000 0.0000
Hg: 0.5000 0.5000 0.5000
P: 0.0000 0.5000 0.0000
P: 0.5000 0.0000 0.0000
S: 0.0000 0.0000 0.5000



Here are the energies relative to the best structure, in eV/atom: run 1 0.000; run 2 0.815.



Run 1
Entry from the Alexandria database: a crystal of KRb2Hg2 relaxed with PBEsol (meta-GGA SCAN).

## Properties
Calculated volume: 430.34 Å³ per cell
Mass density: 4.7 g/cm³
SG: No. 127

a b c (Å): 10.3002 10.3002 4.0562
angles (deg): 90.00 90.00 90.00
Fractional positions:
K: 0.0000 0.0000 0.0000
K: 0.5000 0.5000 0.0000
Rb: 0.1358 0.3642 0.0000
Rb: 0.3642 0.8642 0.0000
Rb: 0.6358 0.1358 0.0000
Rb: 0.8642 0.6358 0.0000
Hg: 0.1596 0.6596 0.5000
Hg: 0.3404 0.1596 0.5000
Hg: 0.6596 0.8404 0.5000
Hg: 0.8404 0.3404 0.5000



Run 2
Entry from the Alexandria database: a crystal of KRb2Hg2 relaxed with PBEsol (meta-GGA SCAN).

## Properties
Calculated volume: 230.20 Å³ per cell
Mass density: 4.4 g/cm³
SG: No. 139

a b c (Å): 8.2907 8.2907 8.2907
angles (deg): 140.33 140.33 57.35
Fractional positions:
K: 0.0000 0.0000 0.0000
Rb: 0.2500 0.7500 0.5000
Rb: 0.7500 0.2500 0.5000
Hg: 0.4031 0.4031 0.0000
Hg: 0.5969 0.5969 0.0000



Here are the energies relative to the best structure, in eV/atom: run 1 0.010; run 2 0.000.